The following is a PBE calculation of a geometry-optimized LiNdZnO3 structure, from OQMD.

abc: 3.3536 8.2258 11.0415
angles: 90.00 90.00 90.00
Closest atoms and distances in Å follow each position.
Space group Cmc2_1 (No. 36)
Unique sites:
Li 0.0000 0.1754 0.0000 x4  2 O 1.87-2.08
Nd 0.0000 0.4163 0.8224 x4  7 O 2.39-2.46
Zn 0.0000 0.1281 0.6394 x4  2 O 1.87-1.94
O 0.0000 0.1259 0.8152 x4  1 Zn 1.94, 1 Li 2.08
O 0.0000 0.1336 0.1669 x4  1 Li 1.87
O 0.0000 0.1673 0.4726 x4  1 Zn 1.87

calculated volume = 12.69 Å³/atom
total DFT energy (no corrections) = -143.17 eV per cell
total moment = 0.01 μB/cell
crystal system = orthorhombic